[1]
# MgMnSb

A relaxed MgMnSb crystal (PBE-GGA, Alexandria). Values from VASP.

Summary:
Space-group type   P-6m2, No. 187
V   20.6 A^3/atom
Magnetic moment   1.073 μB per atom
Energy relative to the elements, uncorrected   161 meV/atom
Electronic total energy   -4.80 eV/atom

```
&SYSTEM
  ibrav = 0, nat = 3, ntyp = 3
/
ATOMIC_SPECIES
Sb 121.76 Sb.upf
Mn 54.94 Mn.upf
Mg 24.30 Mg.upf
CELL_PARAMETERS angstrom
-1.235 -0.753 4.331
1.786 -3.387 -2.486
3.131 0.883 1.046
ATOMIC_POSITIONS angstrom
Sb 2.347 -2.067 0.310
Mn 1.336 -1.190 2.581
Mg 3.131 0.883 1.046
```



[2]
# Mg6MnSb

A relaxed Mg6MnSb crystal (PBE-GGA, Alexandria). Values from VASP.

Summary:
Space-group type   Amm2, No. 38
Energy relative to the lowest polymorph listed for this composition   0.003 eV/atom
V   21.5 A^3/atom
Magnetic moment   0.467 μB per atom
Energy relative to the elements, uncorrected   39 meV/atom
Electronic total energy   -2.82 eV/atom

```
&SYSTEM
  ibrav = 0, nat = 8, ntyp = 3
/
ATOMIC_SPECIES
Mg 24.30 Mg.upf
Sb 121.76 Sb.upf
Mn 54.94 Mn.upf
CELL_PARAMETERS angstrom
-0.244 0.199 -6.303
-4.563 -2.869 3.282
-2.544 4.314 0.235
ATOMIC_POSITIONS angstrom
Mg -5.135 -0.215 1.846
Mg -3.234 -1.740 -3.059
Mg -2.765 1.272 0.194
Mg -0.852 -0.417 -1.562
Mg -2.932 1.350 -3.042
Mg -5.299 -0.135 -1.398
Sb -3.130 -1.851 0.101
Mn -0.968 -0.316 -4.695
```